MnPtRh | GGA-PBE | optimized geometry

Values from the calculation:
density	12.16	g/cm³
magnetization	2.8	μB per formula unit
DOS(E_F)	3.63	states/eV per cell
raw total energy	-22.3	eV per cell
symmetry	F-43m

Cell: 4.085 4.085 4.085 Å, 60.00 60.00 60.00°
Site moments in Bohr magnetons follow the coordinates.
Element x y z (fractional)
Mn (0.750, 0.750, 0.750)  2.80
Pt (0.000, 0.000, 0.000)  0.08
Rh (0.500, 0.500, 0.500)  -0.09

=====

Rb2PaSeO6 | GGA-PBE | optimized geometry

Values from the calculation:
density	6.51	g/cm³
magnetization	0.0	μB per formula unit
DOS(E_F)	3.61	states/eV per cell
raw total energy	-63.8	eV per cell
symmetry	Fm-3m

Cell: 5.925 5.925 5.926 Å, 59.99 59.99 90.00°
Element x y z (fractional)
Rb (0.750, 0.250, 0.500)
Rb (0.250, 0.750, 0.500)
Pa (0.000, 0.000, 0.000)
Se (0.500, 0.500, 0.000)
O (0.261, 0.261, 0.478)
O (0.740, 0.740, 0.000)
O (0.260, 0.740, 0.000)
O (0.740, 0.260, 0.000)
O (0.260, 0.260, 0.000)
O (0.739, 0.739, 0.522)

=====

AlAgPb | GGA-PBE | optimized geometry

Values from the calculation:
density	8.59	g/cm³
magnetization	0.0	μB per formula unit
DOS(E_F)	1.08	states/eV per cell
raw total energy	-9.9	eV per cell
symmetry	I4mm

Cell: 6.721 6.721 3.234 Å, 76.07 76.08 27.84°
Element x y z (fractional)
Pb (0.667, 0.667, 0.333)
Al (0.356, 0.356, 0.644)
Ag (0.977, 0.977, 0.023)